[1]
Ta2MnCr: relaxed, PBE-GGA.

The calculation puts the energy of formation from the pure elements at 0.075 eV per atom.

a b c (Å): 4.297 2.809 5.010
angles (deg): 78.76 90.00 90.00
Positions (direct):
Mn: 0.500 0.745 0.752
Ta: 0.500 0.262 0.268
Ta: 0.000 0.987 0.983
Cr: 0.000 0.507 0.497


[2]
KCdCl2: relaxed, PBE-GGA.

The uncorrected formation energy comes out at -109 kJ/mol of atoms. The calculation puts the energy above the most stable polymorph in this dataset at 58 meV per atom.

a b c (Å): 3.956 3.759 7.811
angles (deg): 89.98 90.00 90.00
Positions (direct):
K: 0.500 0.250 0.250
Cl: 0.000 0.751 0.018
Cl: 0.000 0.749 0.482
Cd: 0.500 0.750 0.750


[3]
MnCdRu2: relaxed, PBE-GGA.

The calculation puts the energy of formation from the pure elements at 0.363 eV per atom.

a b c (Å): 4.793 4.793 4.793
angles (deg): 131.40 131.40 71.17
Positions (direct):
Ru: 0.000 0.000 0.000
Ru: 0.500 0.500 0.000
Mn: 0.250 0.750 0.500
Cd: 0.750 0.250 0.500


[4]
InHg2Cl: relaxed, PBE-GGA.

The uncorrected formation energy comes out at -24 kJ/mol of atoms. The calculation puts the energy above the most stable polymorph in this dataset at 148 meV per atom.

a b c (Å): 5.454 5.454 5.454
angles (deg): 60.00 60.00 60.00
Positions (direct):
Hg: 0.750 0.750 0.750
Hg: 0.250 0.250 0.250
Cl: 0.000 0.000 0.000
In: 0.500 0.500 0.500